Entry 1:
A geometry-optimized Mo2SI structure, computed with PBE.

The structure in extended XYZ format:
```
4
Lattice="-3.758 -0.582 2.486 -4.032 1.310 -1.636 -3.075 -3.113 -1.225" Properties=species:S:1:pos:R:3 pbc="T T T"
I -5.432 -1.193 -0.187
S 0.000 0.000 0.000
Mo -2.716 -0.596 -0.094
Mo -8.149 -1.789 -0.281
```

## Properties
The formation energy from raw total energies comes out at 0.63 eV per atom. For the offset from the most stable computed form, the calculation gives 189 meV per atom. As for the symmetry: Fm-3m (225). The value obtained for the electronic total energy is -24.816 eV per cell.

Entry 2:
A geometry-optimized Mg2GaTe structure, computed with PBE.

The structure in extended XYZ format:
```
4
Lattice="2.933 -3.608 -2.061 -0.823 -4.893 1.118 -1.914 -3.127 -3.525" Properties=species:S:1:pos:R:3 pbc="T T T"
Mg 0.049 -2.907 -1.117
Mg 0.147 -8.722 -3.351
Ga 0.000 0.000 0.000
Te 0.098 -5.814 -2.234
```

## Properties
The formation energy from raw total energies comes out at -0.09 eV per atom. For the offset from the most stable computed form, the calculation gives 100 meV per atom. As for the symmetry: Fm-3m (225). The value obtained for the electronic total energy is -9.730 eV per cell.

Entry 3:
A geometry-optimized Cd2Bi2Br structure, computed with PBE.

The structure in extended XYZ format:
```
10
Lattice="-7.438 5.212 -0.936 -5.163 -6.780 3.276 0.449 1.222 3.237" Properties=species:S:1:pos:R:3 pbc="T T T"
Br -6.300 -0.784 1.170
Br 0.000 0.000 0.000
Bi -8.966 -1.934 3.855
Bi -3.185 1.588 1.723
Bi -4.069 -2.992 3.575
Bi -8.083 2.646 2.003
Cd -2.952 -1.436 0.952
Cd -9.648 -0.133 1.389
Cd -6.828 -3.919 2.427
Cd -5.772 2.350 -0.087
```

## Properties
The formation energy from raw total energies comes out at 0.03 eV per atom. For the offset from the most stable computed form, the calculation gives 54 meV per atom. As for the symmetry: P4/mbm (127). The value obtained for the electronic total energy is -22.205 eV per cell.

Entry 4:
A geometry-optimized SrCuBr4 structure, computed with PBE.

The structure in extended XYZ format:
```
12
Lattice="7.008 0.000 0.000 0.000 7.008 0.000 -3.504 -3.504 7.521" Properties=species:S:1:pos:R:3 pbc="T T T"
Br 1.871 1.090 6.429
Br -1.871 2.414 4.852
Br -1.090 5.375 2.669
Br 4.594 1.633 1.092
Br -1.871 -1.090 6.429
Br 1.871 4.594 4.852
Br 2.414 5.375 1.092
Br 1.090 1.633 2.669
Cu 3.504 3.504 0.000
Cu 0.000 3.504 3.761
Sr 0.000 0.000 0.000
Sr 3.504 0.000 3.761
```

## Properties
The formation energy from raw total energies comes out at -1.13 eV per atom. For the offset from the most stable computed form, the calculation gives 6 meV per atom. As for the symmetry: I4_1/a (88). The value obtained for the electronic total energy is -38.444 eV per cell.

Entry 5:
A geometry-optimized Rb2SnCl5F structure, computed with PBE.

The structure in extended XYZ format:
```
9
Lattice="-5.860 -4.243 0.699 6.643 -2.746 1.076 1.371 5.168 4.924" Properties=species:S:1:pos:R:3 pbc="T T T"
Rb 2.369 -2.897 2.368
Rb -0.267 1.060 4.291
Cl 2.589 3.247 3.959
Cl -0.943 -1.475 1.742
Cl 2.996 -0.377 4.880
Cl 5.323 -0.856 1.964
Cl 1.883 0.569 1.410
Sn 7.984 2.413 5.977
F 6.420 1.940 4.806
```

## Properties
The formation energy from raw total energies comes out at -1.68 eV per atom. As for the symmetry: I4mm (107). The value obtained for the electronic total energy is -32.202 eV per cell.

Entry 6:
A geometry-optimized BaLiSn2Pb structure, computed with PBE.

The structure in extended XYZ format:
```
5
Lattice="-2.251 3.596 2.374 -4.136 -1.053 -2.328 1.514 -5.580 4.911" Properties=species:S:1:pos:R:3 pbc="T T T"
Sn -1.311 -3.363 3.851
Sn -3.562 0.326 1.106
Pb -1.965 -0.356 3.654
Li -2.908 -2.681 1.303
Ba 0.000 0.000 0.000
```

## Properties
As for the symmetry: I-4m2 (119). The value obtained for the electronic total energy is -17.606 eV per cell.

Entry 7:
A geometry-optimized ReAs2Pb structure, computed with PBE.

The structure in extended XYZ format:
```
8
Lattice="-0.122 -2.623 -5.606 5.865 1.743 -0.943 4.748 -5.496 -0.950" Properties=species:S:1:pos:R:3 pbc="T T T"
As 6.173 -4.316 -3.242
As 1.853 -2.591 -3.421
As 8.128 -5.028 -6.369
As 4.828 -0.817 -1.966
Re 6.742 -2.096 -2.584
Re 2.872 -0.440 -3.275
Pb 3.749 -4.280 -4.915
Pb 0.000 0.000 0.000
```

## Properties
As for the symmetry: I-42d (122). The value obtained for the electronic total energy is -47.708 eV per cell.

Entry 8:
A geometry-optimized HoScTl2 structure, computed with PBE.

The structure in extended XYZ format:
```
4
Lattice="-1.197 -1.793 -2.858 0.386 -3.555 -0.174 -8.843 -2.924 3.296" Properties=species:S:1:pos:R:3 pbc="T T T"
Ho -4.852 -4.139 0.144
Tl -6.784 -2.650 2.262
Tl -2.329 -2.057 0.023
Sc -9.359 -6.486 1.262
```

## Properties
As for the symmetry: R3m (160). The value obtained for the electronic total energy is -16.399 eV per cell.

Entry 9:
A geometry-optimized BiAuF2 structure, computed with PBE.

The structure in extended XYZ format:
```
8
Lattice="3.789 6.064 4.852 -1.136 8.283 2.183 -2.990 -8.025 -1.155" Properties=species:S:1:pos:R:3 pbc="T T T"
F 0.525 8.560 5.654
F -0.199 1.349 1.986
F 2.284 4.682 3.575
F -3.285 -1.947 0.547
Bi 1.063 2.606 3.607
Bi 0.000 0.000 0.000
Au 1.326 7.174 3.518
Au -1.400 3.716 2.273
```

## Properties
The formation energy from raw total energies comes out at -1.09 eV per atom. For the offset from the most stable computed form, the calculation gives 0 meV per atom. As for the symmetry: I-42d (122). The value obtained for the electronic total energy is -30.518 eV per cell.

Entry 10:
A geometry-optimized Ba3In9Pt2 structure, computed with PBE.

The structure in extended XYZ format:
```
14
Lattice="4.682 0.000 1.258 1.861 8.918 2.416 -0.021 -0.219 9.422" Properties=species:S:1:pos:R:3 pbc="T T T"
In 5.682 7.363 6.878
In 2.123 2.731 1.439
In 4.859 3.365 9.943
In 4.399 5.968 11.658
In 1.602 0.198 3.382
In 1.663 5.334 3.153
In 0.920 4.350 5.919
In 4.920 8.501 9.715
In 0.840 1.337 6.219
Pt 2.820 2.206 8.192
Pt 3.703 6.493 4.905
Ba 3.776 2.773 4.630
Ba 0.000 0.000 0.000
Ba 2.746 5.926 8.466
```

## Properties
As for the symmetry: Immm (71). The value obtained for the electronic total energy is -48.699 eV per cell.

Entry 11:
A geometry-optimized Ac3Ge4Au2 structure, computed with PBE.

The structure in extended XYZ format:
```
9
Lattice="-4.358 -1.259 -0.539 2.551 -2.729 5.107 -2.659 7.667 3.588" Properties=species:S:1:pos:R:3 pbc="T T T"
Ac -3.835 3.395 3.717
Ac -0.631 0.283 4.439
Ac 0.000 0.000 0.000
Ge -2.153 -1.716 2.065
Ge -1.000 2.606 1.997
Ge -2.312 5.394 6.091
Ge -3.465 1.072 6.159
Au -2.837 0.768 1.791
Au -1.628 2.910 6.365
```

## Properties
As for the symmetry: C2/m (12). The value obtained for the electronic total energy is -44.445 eV per cell.

Entry 12:
A geometry-optimized PrSmPuMg structure, computed with PBE.

The structure in extended XYZ format:
```
4
Lattice="5.568 0.000 0.000 2.784 4.822 0.000 2.784 1.607 4.546" Properties=species:S:1:pos:R:3 pbc="T T T"
Sm 8.352 4.822 3.410
Pr 2.784 1.607 1.137
Mg 0.000 0.000 0.000
Pu 5.568 3.215 2.273
```

## Properties
As for the symmetry: F-43m (216). The value obtained for the electronic total energy is -24.824 eV per cell.

no.,D(E_F) (states/eV/f.u.),magnetization (μB per formula unit)
1,3.1,0.00
2,2.5,0.00
3,2.7,0.00
4,5.5,1.02
5,0.0,0.00
6,2.5,0.00
7,4.8,0.00
8,4.3,0.23
9,0.9,0.00
10,6.1,0.00
11,4.4,0.00
12,15.6,6.22